#P
## Y2Nb2Ga (GGA-PBE)

Data for Y2Nb2Ga after structural relaxation.

Computed properties:
- N(E_F) (states/eV/cell) = 9.49
- space group = No. 127

POSCAR file:
```
Y2Nb2Ga
1.0
7.1364 0.0000 0.0000
0.0000 7.1364 0.0000
0.0000 0.0000 4.5339
Y Nb Ga
4 4 2
Cartesian
1.2314 2.3368 0.0000
2.3368 5.9051 0.0000
4.7996 1.2314 0.0000
5.9051 4.7996 0.0000
0.9478 4.5160 2.2670
2.6204 0.9478 2.2670
4.5160 6.1886 2.2670
6.1886 2.6204 2.2670
0.0000 0.0000 2.2670
3.5682 3.5682 2.2670
```



#Q
## Y2Nb2Ga (GGA-PBE)

Data for Y2Nb2Ga after structural relaxation.

Computed properties:
- N(E_F) (states/eV/cell) = 4.47
- space group = No. 139

POSCAR file:
```
Y2Nb2Ga
1.0
-2.0486 2.0486 7.2658
2.0486 -2.0486 7.2658
2.0486 2.0486 -7.2658
Y Nb Ga
2 2 1
Cartesian
2.0486 0.0000 3.6329
0.0000 2.0486 3.6329
0.0000 0.0000 1.1448
0.0000 0.0000 13.3869
0.0000 0.0000 7.2658
```



Which structure wins on stability? #P wins.



#P
## YNbGa4 (GGA-PBE)

Data for YNbGa4 after structural relaxation.

Computed properties:
- N(E_F) (states/eV/cell) = 0.07
- space group = No. 216

POSCAR file:
```
YNbGa4
1.0
0.0000 3.7561 3.7561
3.7561 0.0000 3.7561
3.7561 3.7561 0.0000
Y Nb Ga
1 1 4
Cartesian
0.0000 0.0000 0.0000
1.8780 1.8780 1.8780
4.6911 2.8210 2.8210
2.8210 4.6911 2.8210
2.8210 2.8210 4.6911
4.6911 4.6911 4.6911
```



#Q
## YNbGa4 (GGA-PBE)

Data for YNbGa4 after structural relaxation.

Computed properties:
- N(E_F) (states/eV/cell) = 1.98
- space group = No. 71

POSCAR file:
```
YNbGa4
1.0
-2.0749 3.6187 3.6773
2.0749 -3.6187 3.6773
2.0749 3.6187 -3.6773
Y Nb Ga
1 1 4
Cartesian
0.0000 0.0000 0.0000
0.0000 0.0000 3.6773
2.0749 -1.1929 1.8737
2.0749 1.1929 1.8737
0.0000 2.4258 1.8035
0.0000 4.8117 1.8035
```



Which structure wins on stability? #P wins.



#P
## YNb3Ga (GGA-PBE)

Data for YNb3Ga after structural relaxation.

Computed properties:
- N(E_F) (states/eV/cell) = 5.61
- space group = No. 221

POSCAR file:
```
YNb3Ga
1.0
4.9396 0.0000 0.0000
0.0000 4.9396 0.0000
0.0000 0.0000 4.9396
Y Nb Ga
1 3 1
Cartesian
0.0000 0.0000 0.0000
0.0000 0.0000 2.4698
0.0000 2.4698 0.0000
2.4698 0.0000 0.0000
2.4698 2.4698 2.4698
```



#Q
## YNb3Ga (GGA-PBE)

Data for YNb3Ga after structural relaxation.

Computed properties:
- N(E_F) (states/eV/cell) = 5.19
- space group = No. 221

POSCAR file:
```
YNb3Ga
1.0
4.8816 0.0000 0.0000
0.0000 4.8816 0.0000
0.0000 0.0000 4.8816
Y Nb Ga
1 3 1
Cartesian
0.0000 0.0000 0.0000
0.0000 2.4408 2.4408
2.4408 0.0000 2.4408
2.4408 2.4408 0.0000
2.4408 2.4408 2.4408
```



Which structure wins on stability? #Q wins.



#P
## NbZn3Ga (GGA-PBE)

Data for NbZn3Ga after structural relaxation.

Computed properties:
- N(E_F) (states/eV/cell) = 5.96
- space group = No. 221

POSCAR file:
```
NbZn3Ga
1.0
5.1262 0.0000 0.0000
0.0000 5.1262 0.0000
0.0000 0.0000 5.1262
Nb Zn Ga
1 3 1
Cartesian
0.0000 0.0000 0.0000
0.0000 0.0000 2.5631
0.0000 2.5631 0.0000
2.5631 0.0000 0.0000
2.5631 2.5631 2.5631
```



#Q
## NbZn3Ga (GGA-PBE)

Data for NbZn3Ga after structural relaxation.

Computed properties:
- N(E_F) (states/eV/cell) = 2.47
- space group = No. 221

POSCAR file:
```
NbZn3Ga
1.0
4.5517 0.0000 0.0000
0.0000 4.5517 0.0000
0.0000 0.0000 4.5517
Nb Zn Ga
1 3 1
Cartesian
0.0000 0.0000 0.0000
0.0000 2.2759 2.2759
2.2759 0.0000 2.2759
2.2759 2.2759 0.0000
2.2759 2.2759 2.2759
```



Which structure wins on stability? #Q wins.



#P
## Nb2ZnGa4 (GGA-PBE)

Data for Nb2ZnGa4 after structural relaxation.

Computed properties:
- N(E_F) (states/eV/cell) = 2.83
- space group = No. 139

POSCAR file:
```
Nb2ZnGa4
1.0
-2.3615 2.3615 6.5358
2.3615 -2.3615 6.5358
2.3615 2.3615 -6.5358
Nb Zn Ga
2 1 4
Cartesian
0.0000 0.0000 1.3491
0.0000 0.0000 11.7226
0.0000 0.0000 6.5358
2.3615 0.0000 0.0000
0.0000 0.0000 4.0621
0.0000 2.3615 0.0000
0.0000 0.0000 9.0095
```



#Q
## Nb2ZnGa4 (GGA-PBE)

Data for Nb2ZnGa4 after structural relaxation.

Computed properties:
- N(E_F) (states/eV/cell) = 4.56
- space group = No. 115

POSCAR file:
```
Nb2ZnGa4
1.0
3.7481 0.0000 0.0000
0.0000 3.7481 0.0000
0.0000 0.0000 8.8030
Nb Zn Ga
2 1 4
Cartesian
0.0000 1.8741 2.1606
1.8741 0.0000 6.6424
0.0000 0.0000 4.4015
0.0000 0.0000 0.0000
0.0000 1.8741 6.2513
1.8741 0.0000 2.5517
1.8741 1.8741 0.0000
```



Which structure wins on stability? #Q wins.



#P
## ZrNbGa (GGA-PBE)

Data for ZrNbGa after structural relaxation.

Computed properties:
- N(E_F) (states/eV/cell) = 5.16
- space group = No. 129

POSCAR file:
```
ZrNbGa
1.0
3.8853 0.0000 0.0000
0.0000 3.8853 0.0000
0.0000 0.0000 7.6304
Zr Nb Ga
2 2 2
Cartesian
0.9713 0.9713 1.0868
2.9140 2.9140 6.5436
0.9713 2.9140 3.8152
2.9140 0.9713 3.8152
0.9713 0.9713 5.8614
2.9140 2.9140 1.7689
```



#Q
## ZrNbGa (GGA-PBE)

Data for ZrNbGa after structural relaxation.

Computed properties:
- N(E_F) (states/eV/cell) = 6.27
- space group = No. 139

POSCAR file:
```
ZrNbGa
1.0
-1.9401 1.9401 7.6377
1.9401 -1.9401 7.6377
1.9401 1.9401 -7.6377
Zr Nb Ga
2 2 2
Cartesian
0.0000 0.0000 2.7246
0.0000 0.0000 12.5508
1.9401 0.0000 0.0000
0.0000 1.9401 0.0000
0.0000 0.0000 5.5792
0.0000 0.0000 9.6962
```



#R
## ZrNbGa (GGA-PBE)

Data for ZrNbGa after structural relaxation.

Computed properties:
- N(E_F) (states/eV/cell) = 3.80
- space group = No. 156

POSCAR file:
```
ZrNbGa
1.0
4.8283 0.0000 0.0000
-2.4141 4.1814 0.0000
0.0000 0.0000 2.8143
Zr Nb Ga
1 1 1
Cartesian
0.0000 0.0000 0.0000
0.0000 2.7876 1.0316
2.4141 1.3938 1.7448
```



Which structure wins on stability? #Q wins.



#P
## NdGa3 (GGA-PBE)

Data for NdGa3 after structural relaxation.

Computed properties:
- N(E_F) (states/eV/cell) = 5.21
- space group = No. 166

POSCAR file:
```
NdGa3
1.0
3.2177 1.8577 6.9593
-3.2177 1.8577 6.9593
0.0000 -3.7155 6.9593
Nd Ga
3 9
Cartesian
0.0000 0.0000 0.0000
0.0000 0.0000 4.4719
0.0000 0.0000 16.4059
-1.6088 -0.9289 6.9593
-1.3471 -0.7778 11.6495
0.0000 -1.5555 9.2284
-1.3471 0.7778 9.2284
-1.6088 0.9289 13.9185
0.0000 1.8577 6.9593
1.3471 -0.7778 11.6495
0.0000 1.5555 11.6495
1.3471 0.7778 9.2284
```



#Q
## NdGa3 (GGA-PBE)

Data for NdGa3 after structural relaxation.

Computed properties:
- N(E_F) (states/eV/cell) = 3.03
- space group = No. 139

POSCAR file:
```
NdGa3
1.0
-2.0898 2.0898 5.6350
2.0898 -2.0898 5.6350
2.0898 2.0898 -5.6350
Nd Ga
1 3
Cartesian
0.0000 0.0000 0.0000
0.0000 0.0000 3.1428
0.0000 0.0000 5.6350
0.0000 0.0000 8.1272
```



#R
## NdGa3 (GGA-PBE)

Data for NdGa3 after structural relaxation.

Computed properties:
- N(E_F) (states/eV/cell) = 2.34
- space group = No. 221

POSCAR file:
```
NdGa3
1.0
4.3844 0.0000 0.0000
0.0000 4.3844 0.0000
0.0000 0.0000 4.3844
Nd Ga
1 3
Cartesian
0.0000 0.0000 0.0000
0.0000 2.1922 2.1922
2.1922 0.0000 2.1922
2.1922 2.1922 0.0000
```



#S
## NdGa3 (GGA-PBE)

Data for NdGa3 after structural relaxation.

Computed properties:
- N(E_F) (states/eV/cell) = 2.76
- space group = No. 194

POSCAR file:
```
NdGa3
1.0
6.4605 0.0000 0.0000
-3.2302 5.5949 0.0000
0.0000 0.0000 4.6060
Nd Ga
2 6
Cartesian
0.0000 3.7300 1.1515
3.2302 1.8650 3.4545
0.0000 1.5982 3.4545
-1.8461 4.7958 3.4545
1.3841 0.7991 1.1515
1.8461 4.7958 3.4545
5.0763 0.7991 1.1515
3.2302 3.9967 1.1515
```



Which structure wins on stability? #S wins.



#P
## NdGa4 (GGA-PBE)

Data for NdGa4 after structural relaxation.

Computed properties:
- N(E_F) (states/eV/cell) = 12.40
- space group = No. 127

POSCAR file:
```
NdGa4
1.0
9.2811 0.0000 0.0000
0.0000 9.2811 0.0000
0.0000 0.0000 5.5035
Nd Ga
4 16
Cartesian
1.4016 3.2390 0.0000
3.2390 7.8795 0.0000
6.0421 1.4016 0.0000
7.8795 6.0421 0.0000
0.0000 0.0000 1.1777
0.0000 0.0000 4.3258
0.9143 5.5548 2.7517
0.9927 1.8268 2.7517
1.8268 8.2884 2.7517
2.8137 3.6478 2.7517
3.6478 6.4674 2.7517
3.7263 0.9143 2.7517
4.6405 4.6405 1.1777
4.6405 4.6405 4.3258
5.5548 8.3668 2.7517
5.6333 2.8137 2.7517
6.4674 5.6333 2.7517
7.4542 0.9927 2.7517
8.2884 7.4542 2.7517
8.3668 3.7263 2.7517
```



#Q
## NdGa4 (GGA-PBE)

Data for NdGa4 after structural relaxation.

Computed properties:
- N(E_F) (states/eV/cell) = 3.40
- space group = No. 74

POSCAR file:
```
NdGa4
1.0
-2.2857 3.2322 6.8350
2.2857 -3.2322 6.8350
2.2857 3.2322 -6.8350
Nd Ga
2 8
Cartesian
0.0000 1.6161 1.5803
2.2857 1.6161 5.2547
2.2857 0.0000 0.0000
2.2857 -1.6161 5.3339
2.2857 -0.2986 2.7234
2.2857 2.9336 -2.7234
0.0000 0.0000 6.8350
0.0000 0.2986 9.5584
0.0000 3.5308 4.1116
0.0000 4.8483 1.5011
```



#R
## NdGa4 (GGA-PBE)

Data for NdGa4 after structural relaxation.

Computed properties:
- N(E_F) (states/eV/cell) = 6.05
- space group = No. 221

POSCAR file:
```
NdGa4
1.0
5.6452 0.0000 0.0000
0.0000 5.6452 0.0000
0.0000 0.0000 5.6452
Nd Ga
1 4
Cartesian
0.0000 0.0000 0.0000
0.0000 0.0000 2.8226
0.0000 2.8226 0.0000
2.8226 0.0000 0.0000
2.8226 2.8226 2.8226
```



Which structure wins on stability? #Q wins.



#P
## Nd4Ga (GGA-PBE)

Data for Nd4Ga after structural relaxation.

Computed properties:
- N(E_F) (states/eV/cell) = 14.33
- space group = No. 141

POSCAR file:
```
Nd4Ga
1.0
-4.6325 4.6325 3.9526
4.6325 -4.6325 3.9526
4.6325 4.6325 -3.9526
Nd Ga
8 2
Cartesian
2.8746 2.3162 -0.2797
6.3903 2.3162 -0.2797
0.0000 0.5584 1.6966
4.6325 0.5584 2.2560
0.0000 4.0741 1.6966
4.6325 4.0741 2.2560
-1.7579 2.3162 4.2323
1.7579 2.3162 4.2323
4.6325 -2.3162 2.9644
0.0000 6.9487 0.9881
```



#Q
## Nd4Ga (GGA-PBE)

Data for Nd4Ga after structural relaxation.

Computed properties:
- N(E_F) (states/eV/cell) = 8.87
- space group = No. 221

POSCAR file:
```
Nd4Ga
1.0
5.7031 0.0000 0.0000
0.0000 5.7031 0.0000
0.0000 0.0000 5.7031
Nd Ga
4 1
Cartesian
0.0000 0.0000 0.0000
0.0000 2.8516 2.8516
2.8516 0.0000 2.8516
2.8516 2.8516 0.0000
2.8516 2.8516 2.8516
```



Which structure wins on stability? #P wins.



#P
## Nd2Ga3Ni2 (GGA-PBE)

Data for Nd2Ga3Ni2 after structural relaxation.

Computed properties:
- N(E_F) (states/eV/cell) = 4.57
- space group = No. 12

POSCAR file:
```
Nd2Ga3Ni2
1.0
5.2783 -2.0506 0.0000
5.2783 2.0506 0.0000
-3.3167 0.0000 6.1354
Nd Ga Ni
2 3 2
Cartesian
0.5637 0.0000 1.6802
6.6762 0.0000 4.4551
3.5686 0.0000 0.3764
3.6199 0.0000 3.0677
3.6713 0.0000 5.7589
-0.9436 0.0000 4.3416
8.1835 0.0000 1.7937
```



#Q
## Nd2Ga3Ni2 (GGA-PBE)

Data for Nd2Ga3Ni2 after structural relaxation.

Computed properties:
- N(E_F) (states/eV/cell) = 10.23
- space group = No. 63

POSCAR file:
```
Nd2Ga3Ni2
1.0
2.1192 -9.1835 0.0000
2.1192 9.1835 0.0000
0.0000 0.0000 6.9825
Nd Ga Ni
4 6 4
Cartesian
2.1192 8.0924 5.2369
2.1192 6.1990 1.7456
2.1192 -6.1990 5.2369
2.1192 -8.0924 1.7456
2.1192 5.0917 5.2369
2.1192 1.1498 3.9749
2.1192 1.1498 6.4988
2.1192 -1.1498 0.4837
2.1192 -1.1498 3.0076
2.1192 -5.0917 1.7456
2.1192 3.5460 0.4088
2.1192 3.5460 3.0825
2.1192 -3.5460 3.9000
2.1192 -3.5460 6.5737
```



Which structure wins on stability? #P wins.